This record from Alexandria describes a geometry-optimized BeIn2Ni structure. The functional is PBE-GGA.

As for the density of states at the Fermi level: 0.51 states/eV per atom. The formation energy comes out at 0.306 eV per atom. For the offset from the most stable computed form, the calculation gives 0.240 eV/atom. Its volume is 65 Å³ per cell.

a b c (Å): 5.052 5.052 5.052
angles (deg): 134.10 134.10 66.93
Atoms (fractional coordinates):
1 Ni 0.500 0.500 0.000
2 Be 0.750 0.250 0.500
3 In 0.000 0.000 0.000
4 In 0.250 0.750 0.500